1.
Below is an optimized crystal structure of CdPdSe, with properties calculated at the PBE level.

Properties
- Formation energy (no corrections): -0.116 eV per atom
- Space group: No. 187

Cell and atoms, written as POSCAR:
```
CdPdSe
1.0
3.548 0.000 0.000
-1.774 3.073 0.000
0.000 0.000 11.247
Cd Pd Se
2 2 2
Cartesian
0.000 0.000 1.882 Cd
0.000 0.000 9.365 Cd
0.000 2.048 0.000 Pd
0.000 2.048 5.624 Pd
1.774 1.024 3.951 Se
1.774 1.024 7.296 Se
```

2.
Below is an optimized crystal structure of Mn2HgRh, with properties calculated at the PBE level.

Properties
- Space group: No. 123
- Energy: -6.363 eV per atom

Cell and atoms, written as POSCAR:
```
Mn2HgRh
1.0
4.114 0.000 0.000
0.000 4.114 0.000
0.000 0.000 3.798
Mn Hg Rh
2 1 1
Cartesian
0.000 2.057 0.000 Mn
2.057 0.000 0.000 Mn
0.000 0.000 1.899 Hg
2.057 2.057 1.899 Rh
```

3.
Below is an optimized crystal structure of Mg2FeRh, with properties calculated at the PBE level.

Properties
- Space group: No. 25
- Energy: -4.830 eV per atom

Cell and atoms, written as POSCAR:
```
Mg2FeRh
1.0
2.959 0.000 0.000
0.000 4.435 0.000
0.000 0.000 4.750
Mg Fe Rh
2 1 1
Cartesian
0.000 0.000 0.000 Mg
0.000 2.217 1.732 Mg
1.479 0.000 2.509 Fe
1.479 2.217 3.996 Rh
```

4.
Below is an optimized crystal structure of Ca2MoIr, with properties calculated at the PBE level.

Properties
- Space group: No. 123
- Energy: -5.327 eV per atom

Cell and atoms, written as POSCAR:
```
Ca2MoIr
1.0
3.595 0.000 0.000
0.000 3.595 0.000
0.000 0.000 6.831
Ca Mo Ir
2 1 1
Cartesian
0.000 0.000 1.575 Ca
0.000 0.000 5.256 Ca
1.798 1.798 3.416 Mo
1.798 1.798 0.000 Ir
```

5.
Below is an optimized crystal structure of Ac3SiPt, with properties calculated at the PBE level.

Properties
- Formation energy (no corrections): -0.637 eV per atom
- Space group: No. 14

Cell and atoms, written as POSCAR:
```
Ac3SiPt
1.0
9.043 0.000 0.000
0.000 6.870 0.000
-4.275 0.000 10.519
Ac Si Pt
12 4 4
Cartesian
0.062 0.029 3.081 Ac
-2.075 3.406 8.340 Ac
-1.829 0.069 10.455 Ac
0.308 3.366 5.196 Ac
2.391 3.596 1.927 Ac
0.254 6.709 7.186 Ac
4.514 0.161 3.333 Ac
2.377 3.274 8.592 Ac
4.460 3.504 5.323 Ac
6.597 6.801 0.064 Ac
6.843 3.464 2.179 Ac
4.706 6.841 7.438 Ac
-2.129 1.245 5.294 Si
0.008 2.190 0.035 Si
4.760 4.680 10.484 Si
6.897 5.625 5.225 Si
0.141 4.784 9.933 Pt
2.279 5.521 4.674 Pt
2.489 1.349 5.845 Pt
4.627 2.086 0.586 Pt
```

6.
Below is an optimized crystal structure of Rb2AcBe2S4, with properties calculated at the PBE level.

Properties
- Formation energy (no corrections): -1.180 eV per atom
- Space group: No. 12

Cell and atoms, written as POSCAR:
```
Rb2AcBe2S4
1.0
7.889 -1.908 0.000
7.889 1.908 0.000
-4.082 0.000 7.811
Rb Ac Be S
2 1 2 4
Cartesian
1.727 0.000 0.536 Rb
9.969 0.000 7.275 Rb
-2.041 0.000 3.905 Ac
2.945 0.000 4.217 Be
8.750 0.000 3.594 Be
0.846 0.000 4.814 S
4.340 0.000 5.746 S
7.355 0.000 2.065 S
10.850 0.000 2.997 S
```

Q: Number 1 is which compound?
A: CdPdSe